1.
Material: BaLi2UO6
Method: DFT, PBE
State: relaxed

Cell: 12.1351 7.8332 7.3245 Å, 90.00 120.56 90.00°
Space group C2/c (No. 15)
Asymmetric unit:
Ba 0.0000 0.1863 0.2500 [4 per cell]
Li 0.2377 0.4710 0.8106 [8 per cell]
U 0.0000 0.2964 0.7500 [4 per cell]
O 0.0954 0.1138 0.9723 [8 per cell]
O 0.1176 0.4888 0.9332 [8 per cell]
O 0.1342 0.2788 0.6557 [8 per cell]

theoretical density	5.38	Mg/m³
N(E_F)	0.06	states/eV per atom
total moment	0.00	μB/f.u.
uncorrected formation energy	-2.2566	eV/atom

---

2.
Material: RbSb4Pb
Method: DFT, PBE
State: relaxed

Cell: 4.2476 10.0065 10.2703 Å, 90.00 90.00 90.00°
Space group Immm (No. 71)
Asymmetric unit:
Rb 0.0000 0.0000 0.0000 [2 per cell]
Sb 0.0000 0.3421 0.2025 [8 per cell]
Pb 0.0000 0.0000 0.5000 [2 per cell]

theoretical density	5.93	Mg/m³
N(E_F)	0.64	states/eV per atom
total moment	0.00	μB/f.u.
ΔE to the lowest computed polymorph	0.000	eV/f.u.
uncorrected formation energy	-0.0368	eV/atom

---

3.
Material: RbCoNiI2
Method: DFT, PBE
State: relaxed

Cell: 5.4930 5.4930 4.6363 Å, 90.00 90.00 90.00°
Space group P4/mmm (No. 123)
Asymmetric unit:
Rb 0.0000 0.0000 0.0000 [1 per cell]
Co 0.5000 0.5000 0.5000 [1 per cell]
Ni 0.5000 0.5000 0.0000 [1 per cell]
I 0.0000 0.5000 0.5000 [2 per cell]

theoretical density	5.42	Mg/m³
N(E_F)	1.45	states/eV per atom
total moment	2.23	μB/f.u.
uncorrected formation energy	0.0981	eV/atom

---

4.
Material: Er2Hg2Au
Method: DFT, PBE
State: relaxed

Cell: 6.6196 12.8210 5.9936 Å, 90.00 90.00 90.00°
Space group Ibam (No. 72)
Asymmetric unit:
Er 0.2132 0.1608 0.0000 [8 per cell]
Hg 0.1516 0.3975 0.0000 [8 per cell]
Au 0.0000 0.0000 0.2500 [4 per cell]

theoretical density	12.18	Mg/m³
ΔE_f	-0.406	eV per atom
N(E_F)	0.61	states/eV per atom
total moment	0.00	μB/f.u.
ΔE to the lowest computed polymorph	0.462	eV/f.u.

---

5.
Material: K2AgHgSb
Method: DFT, PBE
State: relaxed

Cell: 6.8007 6.8007 5.4832 Å, 90.00 90.00 90.00°
Space group P4/mmm (No. 123)
Asymmetric unit:
K 0.0000 0.5000 0.0000 [2 per cell]
Ag 0.0000 0.0000 0.5000 [1 per cell]
Hg 0.5000 0.5000 0.5000 [1 per cell]
Sb 0.5000 0.5000 0.0000 [1 per cell]

theoretical density	3.33	Mg/m³
N(E_F)	1.66	states/eV per atom
total moment	0.02	μB/f.u.
ΔE to the lowest computed polymorph	1.198	eV/f.u.
uncorrected formation energy	0.0887	eV/atom

---

6.
Material: Pm6SbPb3Se2
Method: DFT, PBE
State: relaxed

Cell: 19.5264 4.3679 8.9870 Å, 90.00 106.19 90.00°
Space group C2/m (No. 12)
Asymmetric unit:
Pm 0.0065 0.0000 0.2490 [4 per cell]
Pm 0.1670 0.5000 0.0915 [4 per cell]
Pm 0.1708 0.5000 0.5721 [4 per cell]
Sb 0.0000 0.5000 0.0000 [2 per cell]
Pb 0.0000 0.5000 0.5000 [2 per cell]
Pb 0.1644 0.0000 0.8274 [4 per cell]
Se 0.1683 0.0000 0.3332 [4 per cell]

theoretical density	7.99	Mg/m³
N(E_F)	0.47	states/eV per atom
total moment	0.00	μB/f.u.
uncorrected formation energy	-1.0567	eV/atom